[1]
ZnCoP2: relaxed, GGA-PBE.

Output
* DOS at the Fermi energy: 0.51 states/eV/atom
* DFT formation energy: 29 kJ/mol of atoms

a = 3.9268 Å, b = 3.9268 Å, c = 3.4029 Å
α = 90.00°, β = 90.00°, γ = 90.00°
Last column: nearest neighbours and their distance in Å.
Atoms (fractional coordinates):
Zn (0.0000, 0.0000, 0.0000)  8 P 2.60, 4 Co 2.78
Co (0.5000, 0.5000, 0.0000)  8 P 2.60, 4 Zn 2.78
P (0.0000, 0.5000, 0.5000)  4 Co 2.60, 4 Zn 2.60, 4 P 2.78
P (0.5000, 0.0000, 0.5000)  4 Co 2.60, 4 Zn 2.60, 4 P 2.78



[2]
KCrGa3: relaxed, GGA-PBE.

Output
* DOS at the Fermi energy: 0.52 states/eV/atom
* DFT formation energy: 8 kJ/mol of atoms

a = 4.8206 Å, b = 4.8206 Å, c = 4.8206 Å
α = 90.00°, β = 90.00°, γ = 90.00°
Last column: nearest neighbours and their distance in Å.
Atoms (fractional coordinates):
K (0.0000, 0.0000, 0.0000)  12 Ga 3.41
Cr (0.5000, 0.5000, 0.5000)  6 Ga 2.41
Ga (0.0000, 0.5000, 0.5000)  2 Cr 2.41
Ga (0.5000, 0.0000, 0.5000)  2 Cr 2.41
Ga (0.5000, 0.5000, 0.0000)  2 Cr 2.41



[3]
La2TcRu: relaxed, GGA-PBE.

Output
* DOS at the Fermi energy: 1.27 states/eV/atom
* DFT formation energy: 17 kJ/mol of atoms

a = 3.2164 Å, b = 3.2164 Å, c = 9.1714 Å
α = 90.00°, β = 90.00°, γ = 90.00°
Last column: nearest neighbours and their distance in Å.
Atoms (fractional coordinates):
La (0.0000, 0.0000, 0.0000)  4 Tc 3.18, 4 La 3.22, 1 Ru 3.45
La (0.5000, 0.5000, 0.3803)  4 Ru 3.19, 4 La 3.22, 1 Tc 3.47
Tc (0.5000, 0.5000, 0.7584)  4 Ru 2.59
Ru (0.0000, 0.0000, 0.6243)  4 Tc 2.59



[4]
Sr2PaMnS5: relaxed, GGA-PBE.

Output
* DOS at the Fermi energy: 0.52 states/eV/atom
* calculated total energy: -6.365 eV per atom

a = 8.8716 Å, b = 8.8716 Å, c = 12.4792 Å
α = 90.00°, β = 90.00°, γ = 153.39°
Last column: nearest neighbours and their distance in Å.
Atoms (fractional coordinates):
Sr (0.1060, 0.8940, 0.5000)  6 S 2.97-3.22
Sr (0.1179, 0.8821, 0.1446)  7 S 2.95-3.28
Sr (0.8821, 0.1179, 0.6446)  7 S 2.95-3.28
Sr (0.8940, 0.1060, 0.0000)  6 S 2.97-3.22
Pa (0.2014, 0.7986, 0.8369)  6 S 2.65-2.74
Pa (0.7986, 0.2014, 0.3369)  6 S 2.65-2.74
Mn (0.4384, 0.5616, 0.2563)  4 S 2.32-2.45
Mn (0.5616, 0.4384, 0.7563)  4 S 2.32-2.45
S (0.0473, 0.9527, 0.8526)  2 Mn 2.38, 1 Pa 2.67
S (0.2921, 0.7079, 0.4826)  2 Pa 2.74
S (0.3046, 0.6954, 0.1914)  1 Mn 2.45, 2 Pa 2.73
S (0.3549, 0.6451, 0.8256)  1 Pa 2.65
S (0.5004, 0.4996, 0.0911)  1 Mn 2.32
S (0.4996, 0.5004, 0.5911)  1 Mn 2.32
S (0.6451, 0.3549, 0.3256)  1 Pa 2.65
S (0.6954, 0.3046, 0.6914)  1 Mn 2.45, 2 Pa 2.73
S (0.7079, 0.2921, 0.9826)  2 Pa 2.74
S (0.9527, 0.0473, 0.3526)  2 Mn 2.38, 1 Pa 2.67



[5]
SiGePd2: relaxed, GGA-PBE.

Output
* DOS at the Fermi energy: 0.43 states/eV/atom
* calculated total energy: -5.352 eV per atom

a = 4.0400 Å, b = 4.0400 Å, c = 16.3717 Å
α = 90.00°, β = 90.00°, γ = 90.00°
Last column: nearest neighbours and their distance in Å.
Atoms (fractional coordinates):
Si (0.0000, 0.0000, 0.0000)  4 Pd 2.48
Si (0.0000, 0.5000, 0.2500)  4 Pd 2.48
Si (0.5000, 0.0000, 0.7500)  4 Pd 2.48
Si (0.5000, 0.5000, 0.5000)  4 Pd 2.48
Ge (0.0000, 0.0000, 0.5000)  4 Pd 2.51
Ge (0.0000, 0.5000, 0.7500)  4 Pd 2.51
Ge (0.5000, 0.0000, 0.2500)  4 Pd 2.51
Ge (0.5000, 0.5000, 0.0000)  4 Pd 2.51
Pd (0.2418, 0.2500, 0.1250)  2 Si 2.48, 2 Ge 2.51
Pd (0.2500, 0.7418, 0.3750)  2 Si 2.48, 2 Ge 2.51
Pd (0.2500, 0.7582, 0.8750)  2 Si 2.48, 2 Ge 2.51
Pd (0.2582, 0.2500, 0.6250)  2 Si 2.48, 2 Ge 2.51
Pd (0.7418, 0.7500, 0.6250)  2 Si 2.48, 2 Ge 2.51
Pd (0.7500, 0.2418, 0.8750)  2 Si 2.48, 2 Ge 2.51
Pd (0.7500, 0.2582, 0.3750)  2 Si 2.48, 2 Ge 2.51
Pd (0.7582, 0.7500, 0.1250)  2 Si 2.48, 2 Ge 2.51